## Zn22Tc (meta-GGA SCAN)

Data for a PBEsol-optimized structure of Zn22Tc.

Calculated values
magnetization: 0.0 Bohr magnetons per cell
final energy: -14.41 eV/atom

Lattice parameters (Å, degrees): 9.6769 9.6769 9.6769 60.00 60.00 60.00
With the nearest neighbours (Å) after each atom.
Atoms (fractional coordinates):
Zn  0.0000  0.0000  0.0000  6 Zn 2.43
Zn  0.0000  0.0000  0.5000  6 Zn 2.43
Zn  0.0000  0.5000  0.0000  6 Zn 2.43
Zn  0.0000  0.5000  0.5000  12 Zn 2.87, 2 Tc 2.96
Zn  0.0163  0.0163  0.7337  4 Zn 2.43-2.57
Zn  0.0163  0.7337  0.0163  4 Zn 2.43-2.57
Zn  0.0163  0.7337  0.7337  4 Zn 2.43-2.57
Zn  0.1816  0.1816  0.4419  6 Zn 2.45-2.74
Zn  0.1816  0.1816  0.6950  6 Zn 2.45-2.74
Zn  0.1816  0.4419  0.1816  6 Zn 2.45-2.74
Zn  0.1816  0.4419  0.6950  6 Zn 2.45-2.74
Zn  0.1816  0.6950  0.1816  6 Zn 2.45-2.74
Zn  0.1816  0.6950  0.4419  6 Zn 2.45-2.74
Zn  0.2663  0.2663  0.9837  4 Zn 2.43-2.57
Zn  0.2663  0.9837  0.2663  4 Zn 2.43-2.57
Zn  0.2663  0.9837  0.9837  4 Zn 2.43-2.57
Zn  0.3050  0.5581  0.8184  6 Zn 2.45-2.74
Zn  0.3050  0.8184  0.5581  6 Zn 2.45-2.74
Zn  0.3050  0.8184  0.8184  6 Zn 2.45-2.74
Zn  0.4419  0.1816  0.1816  6 Zn 2.45-2.74
Zn  0.4419  0.1816  0.6950  6 Zn 2.45-2.74
Zn  0.4419  0.6950  0.1816  6 Zn 2.45-2.74
Zn  0.5000  0.0000  0.0000  6 Zn 2.43
Zn  0.5000  0.0000  0.5000  12 Zn 2.87, 2 Tc 2.96
Zn  0.5000  0.5000  0.0000  12 Zn 2.87, 2 Tc 2.96
Zn  0.5000  0.5000  0.5000  12 Zn 2.87, 2 Tc 2.96
Zn  0.5581  0.3050  0.8184  6 Zn 2.45-2.74
Zn  0.5581  0.8184  0.3050  6 Zn 2.45-2.74
Zn  0.5581  0.8184  0.8184  6 Zn 2.45-2.74
Zn  0.6950  0.1816  0.1816  6 Zn 2.45-2.74
Zn  0.6950  0.1816  0.4419  6 Zn 2.45-2.74
Zn  0.6950  0.4419  0.1816  6 Zn 2.45-2.74
Zn  0.7337  0.0163  0.0163  4 Zn 2.43-2.57
Zn  0.7337  0.0163  0.7337  4 Zn 2.43-2.57
Zn  0.7337  0.7337  0.0163  4 Zn 2.43-2.57
Zn  0.8184  0.3050  0.5581  6 Zn 2.45-2.74
Zn  0.8184  0.3050  0.8184  6 Zn 2.45-2.74
Zn  0.8184  0.5581  0.3050  6 Zn 2.45-2.74
Zn  0.8184  0.5581  0.8184  6 Zn 2.45-2.74
Zn  0.8184  0.8184  0.3050  6 Zn 2.45-2.74
Zn  0.8184  0.8184  0.5581  6 Zn 2.45-2.74
Zn  0.9837  0.2663  0.2663  4 Zn 2.43-2.57
Zn  0.9837  0.2663  0.9837  4 Zn 2.43-2.57
Zn  0.9837  0.9837  0.2663  4 Zn 2.43-2.57
Tc  0.3750  0.3750  0.3750  16 Zn 2.92-2.96
Tc  0.6250  0.6250  0.6250  16 Zn 2.92-2.96

## MgZr2Cl (meta-GGA SCAN)

Data for a PBEsol-optimized structure of MgZr2Cl.

Calculated values
formation energy from raw total energies: -2.9 kJ per mole of atoms
magnetization: 0.0 Bohr magnetons per cell

Lattice parameters (Å, degrees): 3.0850 4.6698 5.7245 90.00 90.00 90.00
With the nearest neighbours (Å) after each atom.
Atoms (fractional coordinates):
Mg  0.0000  0.0000  0.0000  2 Cl 2.86, 2 Mg 3.09, 8 Zr 3.13
Zr  0.5000  0.5000  0.2439  4 Zr 2.79-3.09, 4 Mg 3.13
Zr  0.5000  0.5000  0.7561  4 Zr 2.79-3.09, 4 Mg 3.13
Cl  0.0000  0.0000  0.5000  2 Mg 2.86, 2 Cl 3.09, 8 Zr 3.16

## BiTe2SN (meta-GGA SCAN)

Data for a PBEsol-optimized structure of BiTe2SN.

Calculated values
formation energy from raw total energies: 144.8 kJ per mole of atoms
magnetization: 1.1 Bohr magnetons per cell

Lattice parameters (Å, degrees): 5.8260 5.8260 4.1119 90.00 90.00 90.00
With the nearest neighbours (Å) after each atom.
Atoms (fractional coordinates):
Bi  0.0000  0.0000  0.0000  2 N 2.06
Te  0.0000  0.5000  0.0000  2 Bi 2.91
Te  0.5000  0.0000  0.0000  2 Bi 2.91
S  0.5000  0.5000  0.5000  8 Te 3.57
N  0.0000  0.0000  0.5000  2 Bi 2.06

## Li2TeIr (meta-GGA SCAN)

Data for a PBEsol-optimized structure of Li2TeIr.

Calculated values
formation energy from raw total energies: -22.1 kJ per mole of atoms
magnetization: 0.0 Bohr magnetons per cell

Lattice parameters (Å, degrees): 3.0570 4.5317 4.6926 90.00 90.00 90.00
With the nearest neighbours (Å) after each atom.
Atoms (fractional coordinates):
Li  0.0000  0.0000  0.0000  2 Li 2.65, 4 Ir 2.78-2.82, 4 Te 2.94
Li  0.0000  0.5000  0.2928  2 Li 2.65, 4 Te 2.70-2.90, 4 Ir 2.91
Te  0.5000  0.5000  0.7665  2 Ir 2.57, 2 Li 2.70
Ir  0.5000  0.0000  0.5061  2 Te 2.57, 4 Li 2.78-2.82

## K4ScZn (meta-GGA SCAN)

Data for a PBEsol-optimized structure of K4ScZn.

Calculated values
magnetization: 2.1 Bohr magnetons per cell
final energy: -9.44 eV/atom

Lattice parameters (Å, degrees): 7.3398 7.3398 7.3398 60.00 60.00 60.00
With the nearest neighbours (Å) after each atom.
Atoms (fractional coordinates):
K  0.1253  0.1253  0.1253  6 K 3.66-3.68
K  0.1253  0.1253  0.6242  6 K 3.66-3.68
K  0.1253  0.6242  0.1253  6 K 3.66-3.68
K  0.6242  0.1253  0.1253  6 K 3.66-3.68
Sc  0.7500  0.7500  0.7500  12 K 4.30, 4 Zn 4.49
Zn  0.5000  0.5000  0.5000  12 K 4.30, 4 Sc 4.49

## PPbBrO2 (meta-GGA SCAN)

Data for a PBEsol-optimized structure of PPbBrO2.

Calculated values
formation energy from raw total energies: 29.1 kJ per mole of atoms
magnetization: 1.0 Bohr magnetons per cell

Lattice parameters (Å, degrees): 4.0792 4.0792 5.8420 90.00 90.00 90.00
With the nearest neighbours (Å) after each atom.
Atoms (fractional coordinates):
P  0.0000  0.0000  0.0000  4 Br 2.88, 2 Pb 2.92
Pb  0.0000  0.0000  0.5000  4 O 2.04
Br  0.5000  0.5000  0.0000  4 P 2.88
O  0.0000  0.5000  0.5000  2 Pb 2.04
O  0.5000  0.0000  0.5000  2 Pb 2.04

Q: Which value of magnetization does entry 1 give?
A: 0.0 Bohr magnetons per cell